# RbPrBeSe3 PBE optimized geometry
data_RbPrBeSe3
_chemical_formula_sum 'Rb2 Pr2 Be2 Se6'
_symmetry_space_group_name_H-M 'P 1'
_symmetry_Int_Tables_number 1
_cell_length_a 7.9947
_cell_length_b 7.9947
_cell_length_c 11.3579
_cell_angle_alpha 90.00
_cell_angle_beta 90.00
_cell_angle_gamma 149.79
loop_
_symmetry_equiv_pos_as_xyz
'x,y,z'
loop_
_atom_site_label
_atom_site_type_symbol
_atom_site_fract_x
_atom_site_fract_y
_atom_site_fract_z
Be1 Be 0.0389 0.9611 0.2500
Be2 Be 0.9611 0.0389 0.7500
Pr1 Pr 0.5000 0.5000 0.0000
Pr2 Pr 0.5000 0.5000 0.5000
Rb1 Rb 0.7568 0.2432 0.2500
Rb2 Rb 0.2432 0.7568 0.7500
Se1 Se 0.1198 0.8802 0.0871
Se2 Se 0.4464 0.5536 0.2500
Se3 Se 0.1198 0.8802 0.4129
Se4 Se 0.8802 0.1198 0.5871
Se5 Se 0.5536 0.4464 0.7500
Se6 Se 0.8802 0.1198 0.9129
# size of the total moment = 0.004 μB per cell
# total energy = -4.69 eV per atom
# SG = Cmcm, No. 63
# mass density = 4.29 g/cm³